# H2IBr6 | Alexandria via LeMat-Bulk | PBE-GGA | optimized geometry
data_H2IBr6
_cell_length_a 13.5425
_cell_length_b 13.5425
_cell_length_c 6.5088
_cell_angle_alpha 103.38
_cell_angle_beta 103.38
_cell_angle_gamma 135.44
_space_group_name_H-M_alt 'P 1'
_space_group_IT_number 1
loop_
_space_group_symop_operation_xyz
'x,y,z'
loop_
_atom_site_label
_atom_site_fract_x
_atom_site_fract_y
_atom_site_fract_z
H1 0.1704 0.3223 0.0571
H2 0.3223 0.1704 0.5571
H3 0.6777 0.8296 0.4429
H4 0.8296 0.6777 0.9429
I1 0.2079 0.7921 0.2500
I2 0.7921 0.2079 0.7500
Br1 0.0024 0.2690 0.6486
Br2 0.1505 0.5825 0.3597
Br3 0.2601 0.3568 0.2960
Br4 0.2690 0.0024 0.1486
Br5 0.3568 0.2601 0.7960
Br6 0.4175 0.8495 0.1403
Br7 0.5825 0.1505 0.8597
Br8 0.6432 0.7399 0.2040
Br9 0.7310 0.9976 0.8514
Br10 0.7399 0.6432 0.7040
Br11 0.8495 0.4175 0.6403
Br12 0.9976 0.7310 0.3514
# total energy: -2.0790 eV/atom
# Fermi-level density of states: 0.6797 states/eV per atom
# density: 3045 kg/m3

***

# KSr2LiTl | Alexandria via LeMat-Bulk | PBE-GGA | optimized geometry
data_KSr2LiTl
_cell_length_a 6.5433
_cell_length_b 6.5433
_cell_length_c 5.5615
_cell_angle_alpha 90.00
_cell_angle_beta 90.00
_cell_angle_gamma 90.00
_space_group_name_H-M_alt 'P 1'
_space_group_IT_number 1
loop_
_space_group_symop_operation_xyz
'x,y,z'
loop_
_atom_site_label
_atom_site_fract_x
_atom_site_fract_y
_atom_site_fract_z
K1 0.0000 0.0000 0.0000
Sr1 0.0000 0.5000 0.5000
Sr2 0.5000 0.0000 0.5000
Li1 0.5000 0.5000 0.0000
Tl1 0.5000 0.5000 0.5000
# total energy: -1.7578 eV/atom
# energy relative to the lowest polymorph listed for this composition: 0.0 meV/atom
# Fermi-level density of states: 1.0080 states/eV per atom
# density: 2968 kg/m3